Crystalline CaCe2PrTe4 at its relaxed geometry. Source: Alexandria via LeMat-Bulk, functional PBE-GGA.

Cell: 7.8137 4.4805 7.8458 Å, 90.00 109.13 90.00°
With the nearest neighbours (Å) after each atom.
Space group P2/m (No. 10)
Symmetry-distinct sites (fractional):
Ca1 0.0000 0.0000 0.0000 [1 per cell]  6 Te 3.16
Ce1 0.5000 0.0000 0.5000 [1 per cell]  6 Te 3.22
Ce2 0.5000 0.5000 0.0000 [1 per cell]  6 Te 3.18
Pr1 0.0000 0.5000 0.5000 [1 per cell]  6 Te 3.20
Te1 0.2463 0.5000 0.2444 [2 per cell]  2 Ca 3.16, 3 Ce 3.18-3.22, 1 Pr 3.20
Te2 0.2499 0.0000 0.7542 [2 per cell]  1 Ca 3.16, 3 Ce 3.18-3.22, 2 Pr 3.20

Results
VASP energy (eV per atom): -5.329
Raw formation energy (eV/atom): -1.43

Crystalline CaCe2PrTl4 at its relaxed geometry. Source: Alexandria via LeMat-Bulk, functional PBE-GGA.

Cell: 5.5102 5.5102 27.3173 Å, 90.00 90.00 120.00°
With the nearest neighbours (Å) after each atom.
Space group R-3m (No. 166, hexagonal axes)
Symmetry-distinct sites (fractional):
Ca1 0.0000 0.0000 0.0000 [3 per cell]  8 Tl 3.38-3.42
Ce1 0.0000 0.0000 0.2533 [6 per cell]  8 Tl 3.34-3.50
Pr1 0.0000 0.0000 0.5000 [3 per cell]  8 Tl 3.38-3.40
Tl1 0.0000 0.0000 0.1251 [6 per cell]  3 Pr 3.38, 4 Ce 3.41-3.50, 1 Ca 3.42
Tl2 0.0000 0.0000 0.3754 [6 per cell]  4 Ce 3.34-3.35, 3 Ca 3.38, 1 Pr 3.40

Results
Formation energy (eV per atom): -0.312
VASP energy (eV per atom): -3.826

Crystalline Ca2CePrTl4 at its relaxed geometry. Source: Alexandria via LeMat-Bulk, functional PBE-GGA.

Cell: 5.5280 5.5280 27.1056 Å, 90.00 90.00 120.00°
With the nearest neighbours (Å) after each atom.
Space group R-3m (No. 166, hexagonal axes)
Symmetry-distinct sites (fractional):
Ca1 0.0000 0.0000 0.2499 [6 per cell]  8 Tl 3.38-3.41
Ce1 0.0000 0.0000 0.0000 [3 per cell]  8 Tl 3.36-3.38
Pr1 0.0000 0.0000 0.5000 [3 per cell]  8 Tl 3.39-3.40
Tl1 0.0000 0.0000 0.1241 [6 per cell]  1 Ce 3.36, 4 Ca 3.38-3.41, 3 Pr 3.39
Tl2 0.0000 0.0000 0.3746 [6 per cell]  4 Ca 3.38-3.39, 3 Ce 3.38, 1 Pr 3.40

Results
Formation energy (eV per atom): -0.368
VASP energy (eV per atom): -3.390

Crystalline CaCePrTm at its relaxed geometry. Source: Alexandria via LeMat-Bulk, functional PBE-GGA.

Cell: 8.2074 8.2074 8.2074 Å, 90.00 90.00 90.00°
With the nearest neighbours (Å) after each atom.
Space group F-43m (No. 216)
Symmetry-distinct sites (fractional):
Ca1 0.0000 0.0000 0.0000 [4 per cell]  4 Pr 3.55, 4 Tm 3.55
Ce1 0.0000 0.0000 0.5000 [4 per cell]  4 Pr 3.55, 4 Tm 3.55
Pr1 0.2500 0.2500 0.7500 [4 per cell]  4 Ce 3.55, 4 Ca 3.55
Tm1 0.2500 0.2500 0.2500 [4 per cell]  4 Ce 3.55, 4 Ca 3.55

Results
Formation energy (eV per atom): 0.241
VASP energy (eV per atom): -4.055

Crystalline Ca2CePt4 at its relaxed geometry. Source: Alexandria via LeMat-Bulk, functional PBE-GGA.

Cell: 5.8834 7.2448 14.5234 Å, 90.00 90.00 90.00°
With the nearest neighbours (Å) after each atom.
Space group Fmmm (No. 69)
Symmetry-distinct sites (fractional):
Ca1 0.0000 0.0000 0.2386 [8 per cell]  8 Pt 2.92-3.13, 2 Ca 2.96
Ce1 0.0000 0.0000 0.5000 [4 per cell]  8 Pt 2.89
Pt1 0.2500 0.2500 0.1175 [16 per cell]  2 Ce 2.89, 4 Ca 2.92-3.13, 2 Pt 2.94

Results
Formation energy (eV per atom): -0.750
VASP energy (eV per atom): -5.621

Crystalline CaCe2Pt at its relaxed geometry. Source: Alexandria via LeMat-Bulk, functional PBE-GGA.

Cell: 3.8413 3.8413 32.3832 Å, 90.00 90.00 120.00°
With the nearest neighbours (Å) after each atom.
Space group R-3m (No. 166, hexagonal axes)
Symmetry-distinct sites (fractional):
Ca1 0.0000 0.0000 0.0000 [3 per cell]  2 Ce 3.60, 6 Ca 3.84
Ce1 0.0000 0.0000 0.1112 [6 per cell]  3 Pt 2.85
Pt1 0.0000 0.0000 0.5000 [3 per cell]  6 Ce 2.85

Results
Formation energy (eV per atom): -0.253
VASP energy (eV per atom): -5.230
Polymorph energy (0 for the lowest one) (eV/atom): 0.114

Crystalline Ca2CePt2 at its relaxed geometry. Source: Alexandria via LeMat-Bulk, functional PBE-GGA.

Cell: 5.7579 4.3322 11.1465 Å, 90.00 101.76 90.00°
With the nearest neighbours (Å) after each atom.
Space group P2_1/m (No. 11)
Symmetry-distinct sites (fractional):
Ca1 0.0562 0.2500 0.2832 [2 per cell]  5 Pt 2.99-3.22
Ca2 0.2884 0.7500 0.0404 [2 per cell]  3 Pt 2.92-3.06
Ce1 0.3997 0.2500 0.6231 [2 per cell]  6 Pt 2.92-3.17
Pt1 0.1575 0.7500 0.4716 [2 per cell]  4 Ce 2.92-3.17, 2 Pt 2.98, 3 Ca 2.99-3.22
Pt2 0.4824 0.7500 0.8042 [2 per cell]  5 Ca 2.92-3.06, 2 Ce 2.93

Results
Formation energy (eV per atom): -0.872
VASP energy (eV per atom): -5.276

Crystalline CaCe2Pt3 at its relaxed geometry. Source: Alexandria via LeMat-Bulk, functional PBE-GGA.

Cell: 13.1801 5.8380 8.1728 Å, 90.00 108.08 90.00°
With the nearest neighbours (Å) after each atom.
Space group C2/c (No. 15)
Symmetry-distinct sites (fractional):
Ca1 0.0000 0.0017 0.2500 [4 per cell]  6 Pt 2.92-3.01
Ce1 0.1650 0.4998 0.0824 [8 per cell]  6 Pt 2.85-2.92
Pt1 0.0000 0.4982 0.7500 [4 per cell]  4 Ce 2.91, 2 Ca 2.92
Pt2 0.1763 0.9999 0.0882 [8 per cell]  4 Ce 2.85-2.92, 2 Ca 3.01

Results
Formation energy (eV per atom): -0.967
VASP energy (eV per atom): -6.299
Polymorph energy (0 for the lowest one) (eV/atom): 0.034

Crystalline CaCe2Pt3 at its relaxed geometry. Source: Alexandria via LeMat-Bulk, functional PBE-GGA.

Cell: 5.0869 7.1347 14.9033 Å, 90.00 90.00 90.00°
With the nearest neighbours (Å) after each atom.
Space group Imma (No. 74)
Symmetry-distinct sites (fractional):
Ca1 0.0000 0.2500 0.1757 [4 per cell]  8 Pt 3.16-3.24, 2 Ca 3.37, 2 Ce 3.53
Ce1 0.0000 0.2500 0.4882 [4 per cell]  8 Pt 2.98-3.11
Ce2 0.0000 0.2500 0.8356 [4 per cell]  8 Pt 2.99-3.05
Pt1 0.0000 0.0000 0.0000 [4 per cell]  6 Ce 3.03-3.11, 2 Ca 3.17
Pt2 0.0000 0.0300 0.6598 [8 per cell]  5 Ce 2.98-3.05, 1 Pt 3.14, 3 Ca 3.16-3.24

Results
Formation energy (eV per atom): -1.002
VASP energy (eV per atom): -6.333
Polymorph energy (0 for the lowest one) (eV/atom): 0.000

Crystalline CaCePt10 at its relaxed geometry. Source: Alexandria via LeMat-Bulk, functional PBE-GGA.

Cell: 4.4384 5.4119 9.3298 Å, 90.00 90.00 90.00°
With the nearest neighbours (Å) after each atom.
Space group Pmmm (No. 47)
Symmetry-distinct sites (fractional):
Ca1 0.0000 0.0000 0.0000 [1 per cell]  6 Pt 3.11-3.13
Ce1 0.0000 0.5000 0.5000 [1 per cell]  6 Pt 3.09-3.12
Pt1 0.0000 0.0000 0.3335 [2 per cell]  6 Pt 2.71
Pt2 0.0000 0.5000 0.1684 [2 per cell]  6 Pt 2.71-2.72
Pt3 0.5000 0.0000 0.5000 [1 per cell]  8 Pt 2.69-2.71
Pt4 0.5000 0.2517 0.2519 [4 per cell]  8 Pt 2.69-2.72
Pt5 0.5000 0.5000 0.0000 [1 per cell]  8 Pt 2.71-2.72

Results
Formation energy (eV per atom): -0.640
VASP energy (eV per atom): -6.335

Crystalline CaCePt at its relaxed geometry. Source: Alexandria via LeMat-Bulk, functional PBE-GGA.

Cell: 4.1156 4.1156 6.5432 Å, 90.00 90.00 120.00°
With the nearest neighbours (Å) after each atom.
Space group P3m1 (No. 156)
Symmetry-distinct sites (fractional):
Ca1 0.0000 0.0000 0.0000 [1 per cell]  3 Pt 2.93
Ce1 0.3333 0.6667 0.5077 [1 per cell]  3 Pt 2.81
Pt1 0.6667 0.3333 0.7372 [1 per cell]  3 Ce 2.81, 3 Ca 2.93

Results
Formation energy (eV per atom): -0.594
VASP energy (eV per atom): -5.253
Polymorph energy (0 for the lowest one) (eV/atom): 0.107

Crystalline CaCe3Pt8 at its relaxed geometry. Source: Alexandria via LeMat-Bulk, functional PBE-GGA.

Cell: 5.4783 5.4783 26.8543 Å, 90.00 90.00 120.00°
With the nearest neighbours (Å) after each atom.
Space group R3m (No. 160, hexagonal axes)
Symmetry-distinct sites (fractional):
Ca1 0.0000 0.0000 0.0000 [3 per cell]  12 Pt 3.20-3.22, 4 Ce 3.34
Ce1 0.0000 0.0000 0.1245 [3 per cell]  12 Pt 3.20-3.24, 1 Ca 3.34, 3 Ce 3.37
Ce2 0.0000 0.0000 0.5007 [3 per cell]  12 Pt 3.21-3.22, 4 Ce 3.37
Ce3 0.0000 0.0000 0.6262 [3 per cell]  12 Pt 3.20-3.22, 3 Ca 3.34, 1 Ce 3.37
Pt1 0.0000 0.0000 0.3132 [3 per cell]  6 Pt 2.73-2.75
Pt2 0.0000 0.0000 0.8130 [3 per cell]  6 Pt 2.74
Pt3 0.0001 0.5000 0.5629 [9 per cell]  6 Pt 2.74-2.75
Pt4 0.0008 0.5004 0.0630 [9 per cell]  6 Pt 2.73-2.75

Results
Formation energy (eV per atom): -1.019
VASP energy (eV per atom): -6.697

Crystalline Ca2CePt3 at its relaxed geometry. Source: Alexandria via LeMat-Bulk, functional PBE-GGA.

Cell: 4.0609 5.8227 12.6522 Å, 90.00 90.00 90.00°
With the nearest neighbours (Å) after each atom.
Space group Immm (No. 71)
Symmetry-distinct sites (fractional):
Ca1 0.0000 0.0000 0.1683 [4 per cell]  6 Pt 2.92-3.02
Ce1 0.0000 0.0000 0.5000 [2 per cell]  6 Pt 2.82-2.91
Pt1 0.0000 0.5000 0.1551 [4 per cell]  2 Ce 2.82, 4 Ca 2.92-3.02
Pt2 0.0000 0.5000 0.5000 [2 per cell]  2 Ce 2.91, 4 Ca 2.94

Results
Formation energy (eV per atom): -0.847
VASP energy (eV per atom): -5.523
Polymorph energy (0 for the lowest one) (eV/atom): 0.130

Crystalline CaCePt at its relaxed geometry. Source: Alexandria via LeMat-Bulk, functional PBE-GGA.

Cell: 7.0112 7.0112 7.0112 Å, 90.00 90.00 90.00°
With the nearest neighbours (Å) after each atom.
Space group F-43m (No. 216)
Symmetry-distinct sites (fractional):
Ca1 0.0000 0.0000 0.0000 [4 per cell]  4 Pt 3.04
Ce1 0.0000 0.0000 0.5000 [4 per cell]  4 Pt 3.04
Pt1 0.2500 0.2500 0.2500 [4 per cell]  4 Ce 3.04, 4 Ca 3.04

Results
Formation energy (eV per atom): -0.626
VASP energy (eV per atom): -5.285
Polymorph energy (0 for the lowest one) (eV/atom): 0.075

Crystalline CaCe5Pt4 at its relaxed geometry. Source: Alexandria via LeMat-Bulk, functional PBE-GGA.

Cell: 19.0602 4.1864 7.8838 Å, 90.00 114.36 90.00°
With the nearest neighbours (Å) after each atom.
Space group C2/m (No. 12)
Symmetry-distinct sites (fractional):
Ca1 0.0000 0.0000 0.0000 [2 per cell]  4 Pt 2.91
Ce1 0.0000 0.0000 0.5000 [2 per cell]  4 Pt 2.84
Ce2 0.1642 0.5000 0.4088 [4 per cell]  4 Pt 2.85-3.00
Ce3 0.1643 0.5000 0.9200 [4 per cell]  4 Pt 2.85-3.00
Pt1 0.9999 0.5000 0.2565 [4 per cell]  4 Ce 2.84-2.85, 2 Ca 2.91
Pt2 0.2080 0.0000 0.2082 [4 per cell]  6 Ce 2.94-3.00

Results
Formation energy (eV per atom): -0.729
VASP energy (eV per atom): -6.312

Crystalline CaCePt4 at its relaxed geometry. Source: Alexandria via LeMat-Bulk, functional PBE-GGA.

Cell: 7.7345 7.7345 7.7345 Å, 90.00 90.00 90.00°
With the nearest neighbours (Å) after each atom.
Space group F-43m (No. 216)
Symmetry-distinct sites (fractional):
Ca1 0.0000 0.0000 0.0000 [4 per cell]  12 Pt 3.21, 4 Ce 3.35
Ce1 0.2500 0.2500 0.7500 [4 per cell]  12 Pt 3.21, 4 Ca 3.35
Pt1 0.1253 0.1253 0.3747 [16 per cell]  6 Pt 2.73-2.74

Results
Formation energy (eV per atom): -1.012
VASP energy (eV per atom): -6.362

Crystalline CaCe2Pt4 at its relaxed geometry. Source: Alexandria via LeMat-Bulk, functional PBE-GGA.

Cell: 9.1698 7.4563 4.8516 Å, 90.00 108.57 90.00°
With the nearest neighbours (Å) after each atom.
Space group C2/m (No. 12)
Symmetry-distinct sites (fractional):
Ca1 0.0000 0.0000 0.0000 [2 per cell]  8 Pt 2.95-2.96
Ce1 0.1745 0.5000 0.3606 [4 per cell]  4 Pt 2.79-2.81
Pt1 0.0000 0.2264 0.5000 [4 per cell]  2 Pt 2.76, 2 Ce 2.81, 2 Ca 2.96
Pt2 0.2500 0.2500 0.0000 [4 per cell]  2 Pt 2.76, 2 Ce 2.79, 2 Ca 2.95

Results
Formation energy (eV per atom): -0.969
VASP energy (eV per atom): -6.402

Crystalline Ca2CePt3 at its relaxed geometry. Source: Alexandria via LeMat-Bulk, functional PBE-GGA.

Cell: 4.9971 14.9867 3.5205 Å, 90.00 90.00 90.00°
With the nearest neighbours (Å) after each atom.
Space group Cmmm (No. 65)
Symmetry-distinct sites (fractional):
Ca1 0.0000 0.1721 0.0000 [4 per cell]  8 Pt 3.07-3.15, 2 Ca 3.42
Ce1 0.0000 0.5000 0.0000 [2 per cell]  8 Pt 2.89-3.06
Pt1 0.0000 0.0000 0.5000 [2 per cell]  4 Ce 3.06, 4 Ca 3.12, 4 Pt 3.39
Pt2 0.0000 0.3468 0.5000 [4 per cell]  2 Ce 2.89, 6 Ca 3.07-3.15

Results
Formation energy (eV per atom): -0.977
VASP energy (eV per atom): -5.653
Polymorph energy (0 for the lowest one) (eV/atom): 0.000

Crystalline Ca3CePt3 at its relaxed geometry. Source: Alexandria via LeMat-Bulk, functional PBE-GGA.

Cell: 8.6578 8.6578 17.4401 Å, 90.00 90.00 120.00°
With the nearest neighbours (Å) after each atom.
Space group R-3 (No. 148, hexagonal axes)
Symmetry-distinct sites (fractional):
Ca1 0.0143 0.7429 0.1016 [18 per cell]  5 Pt 2.96-3.15
Ce1 0.0000 0.0000 0.3304 [6 per cell]  6 Pt 2.83-2.98
Pt1 0.0088 0.6226 0.9383 [18 per cell]  2 Ce 2.83-2.98, 5 Ca 2.96-3.15, 1 Pt 2.97

Results
Formation energy (eV per atom): -0.855
VASP energy (eV per atom): -5.149
Polymorph energy (0 for the lowest one) (eV/atom): 0.000

Crystalline CaCePt6 at its relaxed geometry. Source: Alexandria via LeMat-Bulk, functional PBE-GGA.

Cell: 5.3117 5.3117 5.3117 Å, 90.00 90.00 90.00°
With the nearest neighbours (Å) after each atom.
Space group Pm-3 (No. 200)
Symmetry-distinct sites (fractional):
Ca1 0.0000 0.0000 0.0000 [1 per cell]  12 Pt 2.97
Ce1 0.5000 0.5000 0.5000 [1 per cell]  12 Pt 2.97
Pt1 0.0000 0.2500 0.5000 [6 per cell]  2 Pt 2.66, 2 Ce 2.97, 2 Ca 2.97

Results
Formation energy (eV per atom): -0.506
VASP energy (eV per atom): -6.029